Record 1
# La5Ge2SeN

A geometry-optimized La5Ge2SeN structure (PBE-GGA, Alexandria via LeMat-Bulk).

abc: 4.7809 4.7809 11.3312
angles: 90.00 90.00 90.00
Sites, in units of the cell vectors:
La (0.0000, 0.0000, 0.0000)
La (0.0000, 0.5000, 0.5000)
La (0.5000, 0.0000, 0.5000)
La (0.5000, 0.5000, 0.2564)
La (0.5000, 0.5000, 0.7436)
Ge (0.0000, 0.0000, 0.2871)
Ge (0.0000, 0.0000, 0.7129)
Se (0.5000, 0.5000, 0.0000)
N (0.5000, 0.5000, 0.5000)

The calculation puts the electronic total energy at -6.13 eV/atom. The space group is P4/mmm. As for the density of states at the Fermi level: 7.61 states/eV/f.u.

***

Record 2
# La4SiGeN

A geometry-optimized La4SiGeN structure (PBE-GGA, Alexandria via LeMat-Bulk).

abc: 8.8882 8.8882 6.8761
angles: 90.00 90.00 134.62
Sites, in units of the cell vectors:
La (0.0000, 0.5000, 0.0000)
La (0.0000, 0.5000, 0.5000)
La (0.0694, 0.9306, 0.7500)
La (0.4228, 0.5772, 0.7500)
La (0.5000, 0.0000, 0.0000)
La (0.5000, 0.0000, 0.5000)
La (0.5772, 0.4228, 0.2500)
La (0.9306, 0.0694, 0.2500)
Si (0.1138, 0.8862, 0.2500)
Si (0.8862, 0.1138, 0.7500)
Ge (0.3856, 0.6144, 0.2500)
Ge (0.6144, 0.3856, 0.7500)
N (0.2743, 0.7257, 0.7500)
N (0.7257, 0.2743, 0.2500)

The calculation puts the electronic total energy at -6.27 eV/atom. The space group is Cmcm. As for the density of states at the Fermi level: 4.02 states/eV/f.u.

***

Record 3
# La2Sm2Ge2N

A geometry-optimized La2Sm2Ge2N structure (PBE-GGA, Alexandria via LeMat-Bulk).

abc: 8.7123 8.7123 8.7123
angles: 148.13 148.13 45.70
Sites, in units of the cell vectors:
La (0.1699, 0.1699, 0.0000)
La (0.8301, 0.8301, 0.0000)
Sm (0.0000, 0.5000, 0.5000)
Sm (0.5000, 0.0000, 0.5000)
Ge (0.3664, 0.3664, 0.0000)
Ge (0.6336, 0.6336, 0.0000)
N (0.0000, 0.0000, 0.0000)

The calculation puts the electronic total energy at -6.22 eV/atom. The space group is I4/mmm. As for the density of states at the Fermi level: 4.89 states/eV/f.u.

***

Record 4
# La2SmGeN4

A geometry-optimized La2SmGeN4 structure (PBE-GGA, Alexandria via LeMat-Bulk).

abc: 6.1408 6.1408 12.3538
angles: 90.00 90.00 145.25
Sites, in units of the cell vectors:
La (0.1307, 0.8693, 0.5461)
La (0.1307, 0.8693, 0.9539)
La (0.8693, 0.1307, 0.0461)
La (0.8693, 0.1307, 0.4539)
Sm (0.3962, 0.6038, 0.7500)
Sm (0.6038, 0.3962, 0.2500)
Ge (0.3330, 0.6670, 0.2500)
Ge (0.6670, 0.3330, 0.7500)
N (0.0789, 0.9211, 0.7500)
N (0.2220, 0.7780, 0.1366)
N (0.2220, 0.7780, 0.3634)
N (0.5000, 0.5000, 0.0000)
N (0.5000, 0.5000, 0.5000)
N (0.7780, 0.2220, 0.6366)
N (0.7780, 0.2220, 0.8634)
N (0.9211, 0.0789, 0.2500)

The calculation puts the electronic total energy at -7.45 eV/atom. The space group is Cmcm. As for the density of states at the Fermi level: 0.85 states/eV/f.u.